Entry 1:
First-principles (GGA-PBE) data for an optimized crystal structure of SrPbCl3, as listed in Alexandria.

extended XYZ file:
```
5
Lattice="5.6195 0.0000 0.0000 0.0000 5.6195 0.0000 0.0000 0.0000 5.6195" Properties=species:S:1:pos:R:3 pbc="T T T"
Sr 0.0000 0.0000 0.0000
Pb 2.8098 2.8098 2.8098
Cl 0.0000 0.0000 2.8098
Cl 0.0000 2.8098 0.0000
Cl 2.8098 0.0000 0.0000
```

## Properties
D(E_F) ... 3.2 states/eV/f.u.
DFT total energy ... -17.89 eV for the cell shown
ΔE_f (raw) ... -1.39 eV/atom
Offset from the most stable computed form ... 0 meV per atom


Entry 2:
First-principles (GGA-PBE) data for an optimized crystal structure of SrCa2Al, as listed in Alexandria.

extended XYZ file:
```
4
Lattice="3.8224 0.0000 0.0000 0.0000 3.8224 0.0000 0.0000 0.0000 9.9819" Properties=species:S:1:pos:R:3 pbc="T T T"
Sr 0.0000 0.0000 0.0000
Ca 1.9112 1.9112 3.1684
Ca 1.9112 1.9112 6.8135
Al 0.0000 0.0000 4.9910
```

## Properties
D(E_F) ... 3.9 states/eV/f.u.
DFT total energy ... -9.72 eV for the cell shown
ΔH_f (0 K) ... -0.0729 eV/atom


Entry 3:
First-principles (GGA-PBE) data for an optimized crystal structure of Li5InPb8, as listed in Alexandria.

extended XYZ file:
```
14
Lattice="-4.4692 4.4692 4.6039 4.4692 -4.4692 4.6039 4.4692 4.4692 -4.6039" Properties=species:S:1:pos:R:3 pbc="T T T"
Li 0.0000 0.0000 0.0000
Li 5.5965 2.5262 -0.7505
Li 2.5262 3.3418 0.7505
Li -1.1273 1.9430 3.8533
Li 1.9430 1.1273 5.3544
In 4.4692 0.0000 2.3019
Pb 3.0349 3.6308 -2.2072
Pb 1.4343 0.8384 2.3967
Pb -0.6415 2.9454 0.7612
Pb 5.3075 3.0349 2.2072
Pb 0.6415 5.9929 0.7612
Pb 1.5238 3.8277 3.8426
Pb -0.8384 1.4343 6.8110
Pb -1.5238 5.1106 3.8426
```

## Properties
D(E_F) ... 4.2 states/eV/f.u.
DFT total energy ... -43.82 eV for the cell shown
ΔH_f (0 K) ... -0.1322 eV/atom


Entry 4:
First-principles (GGA-PBE) data for an optimized crystal structure of ScOs, as listed in Alexandria.

extended XYZ file:
```
6
Lattice="5.0390 -1.4997 0.0000 5.0390 1.4997 0.0000 -2.0850 0.0000 6.9056" Properties=species:S:1:pos:R:3 pbc="T T T"
Sc 0.0000 0.0000 0.0000
Sc -1.1126 0.0000 4.0789
Sc 2.7682 0.0000 1.5830
Os 1.5562 0.0000 4.4253
Os 5.6787 0.0000 2.4028
Os 5.3000 0.0000 6.2371
```

## Properties
D(E_F) ... 1.2 states/eV/f.u.
DFT total energy ... -53.81 eV for the cell shown
ΔH_f (0 K) ... -0.1879 eV/atom


Entry 5:
First-principles (GGA-PBE) data for an optimized crystal structure of TaPbAu2, as listed in Alexandria.

extended XYZ file:
```
4
Lattice="4.6565 -1.5536 0.0000 4.6565 1.5536 0.0000 -0.9053 0.0000 5.7227" Properties=species:S:1:pos:R:3 pbc="T T T"
Ta 0.0000 0.0000 0.0000
Pb 1.6616 0.0000 4.0434
Au 4.1931 0.0000 2.4058
Au 6.7456 0.0000 1.0855
```

## Properties
D(E_F) ... 2.8 states/eV/f.u.
DFT total energy ... -21.06 eV for the cell shown
ΔH_f (0 K) ... 0.2633 eV/atom


Entry 6:
First-principles (GGA-PBE) data for an optimized crystal structure of RbSn4Pb, as listed in Alexandria.

extended XYZ file:
```
6
Lattice="0.0000 4.5574 4.5574 4.5574 0.0000 4.5574 4.5574 4.5574 0.0000" Properties=species:S:1:pos:R:3 pbc="T T T"
Rb 0.0000 0.0000 0.0000
Sn 5.6959 3.4189 3.4189
Sn 3.4189 5.6959 3.4189
Sn 3.4189 3.4189 5.6959
Sn 5.6959 5.6959 5.6959
Pb 2.2787 2.2787 2.2787
```

## Properties
D(E_F) ... 6.0 states/eV/f.u.
DFT total energy ... -20.68 eV for the cell shown
ΔH_f (0 K) ... 0.0011 eV/atom
Offset from the most stable computed form ... 52 meV per atom


Entry 7:
First-principles (GGA-PBE) data for an optimized crystal structure of BaAcCd, as listed in Alexandria.

extended XYZ file:
```
3
Lattice="0.0000 4.0968 4.0968 4.0968 0.0000 4.0968 4.0968 4.0968 0.0000" Properties=species:S:1:pos:R:3 pbc="T T T"
Ba 0.0000 0.0000 0.0000
Ac 4.0968 4.0968 4.0968
Cd 6.1452 6.1452 6.1452
```

## Properties
D(E_F) ... 5.3 states/eV/f.u.
DFT total energy ... -6.83 eV for the cell shown
ΔH_f (0 K) ... 0.0388 eV/atom
Offset from the most stable computed form ... 206 meV per atom


Entry 8:
First-principles (GGA-PBE) data for an optimized crystal structure of PrYTm6, as listed in Alexandria.

extended XYZ file:
```
8
Lattice="4.9930 0.0000 0.0000 0.0000 4.9930 0.0000 0.0000 0.0000 9.9661" Properties=species:S:1:pos:R:3 pbc="T T T"
Pr 0.0000 0.0000 0.0000
Y 0.0000 0.0000 4.9831
Tm 0.0000 2.4965 2.5125
Tm 0.0000 2.4965 7.4536
Tm 2.4965 0.0000 2.5125
Tm 2.4965 0.0000 7.4536
Tm 2.4965 2.4965 0.0000
Tm 2.4965 2.4965 4.9831
```

## Properties
D(E_F) ... 11.3 states/eV/f.u.
DFT total energy ... -37.82 eV for the cell shown
ΔH_f (0 K) ... 0.0310 eV/atom
Offset from the most stable computed form ... 0 meV per atom


Entry 9:
First-principles (GGA-PBE) data for an optimized crystal structure of Sm4Co2N, as listed in Alexandria.

extended XYZ file:
```
7
Lattice="-2.4367 2.4367 6.6233 2.4367 -2.4367 6.6233 2.4367 2.4367 -6.6233" Properties=species:S:1:pos:R:3 pbc="T T T"
Sm 2.4367 0.0000 0.0000
Sm 0.0000 0.0000 2.4916
Sm 0.0000 2.4367 0.0000
Sm 0.0000 0.0000 10.7549
Co 0.0000 0.0000 5.1285
Co 0.0000 0.0000 8.1181
N 0.0000 0.0000 0.0000
```

## Properties
D(E_F) ... 7.6 states/eV/f.u.
DFT total energy ... -43.07 eV for the cell shown
ΔE_f (raw) ... -0.24 eV/atom


Entry 10:
First-principles (GGA-PBE) data for an optimized crystal structure of TeHW, as listed in Alexandria.

extended XYZ file:
```
24
Lattice="5.6587 0.0000 0.0000 -0.2788 7.6427 0.0000 -0.1287 -0.1020 10.0324" Properties=species:S:1:pos:R:3 pbc="T T T"
Te 0.0000 0.0000 0.0000
Te 0.0359 3.7625 9.6139
Te 0.6435 4.3154 5.4882
Te 1.0306 4.9436 2.1481
Te 2.1336 7.1907 7.4302
Te 3.4164 3.0991 7.1928
Te 3.9195 2.9246 2.6909
Te 5.2283 0.1732 4.7103
H 0.1193 1.6239 7.4429
H 0.8244 0.9619 2.3784
H 2.3799 1.4795 4.5035
H 2.7316 5.1190 9.8759
H 2.8590 2.0324 9.9270
H 2.9065 5.2592 4.3847
H 3.1660 0.0714 2.5639
H 5.1001 6.1598 7.2311
W 1.1353 2.3785 3.4628
W 1.2921 1.7454 5.9914
W 1.4433 1.7601 8.7508
W 2.2612 1.1419 1.2606
W 3.1043 6.5068 1.2192
W 3.8527 5.5923 6.0214
W 4.0257 5.5501 8.6443
W 4.2652 5.6445 3.2604
```

## Properties
D(E_F) ... 1.4 states/eV/f.u.
DFT total energy ... -145.38 eV for the cell shown


Entry 11:
First-principles (GGA-PBE) data for an optimized crystal structure of PmNd3Ho4, as listed in Alexandria.

extended XYZ file:
```
16
Lattice="11.5496 0.0000 0.0000 0.0000 7.3218 0.0000 0.0000 0.0000 6.3050" Properties=species:S:1:pos:R:3 pbc="T T T"
Pm 0.0000 0.9431 0.0000
Pm 5.7748 6.3786 3.1525
Nd 0.0000 6.3872 3.1444
Nd 2.8815 6.3855 5.2665
Nd 2.8933 0.9363 2.1140
Nd 5.7748 0.9346 6.2970
Nd 8.6562 0.9363 2.1140
Nd 8.6681 6.3855 5.2665
Ho 0.0000 2.7718 3.1603
Ho 0.0000 4.5453 0.0020
Ho 2.8860 2.7747 5.2565
Ho 2.8888 4.5471 2.1039
Ho 5.7748 2.7765 3.1545
Ho 5.7748 4.5500 0.0078
Ho 8.6636 2.7747 5.2565
Ho 8.6607 4.5471 2.1039
```

## Properties
D(E_F) ... 14.8 states/eV/f.u.
DFT total energy ... -74.30 eV for the cell shown
ΔH_f (0 K) ... 0.0271 eV/atom
Offset from the most stable computed form ... 7 meV per atom


Entry 12:
First-principles (GGA-PBE) data for an optimized crystal structure of DyTh2Pd, as listed in Alexandria.

extended XYZ file:
```
4
Lattice="1.8591 1.0733 9.7711 -1.8591 1.0733 9.7711 0.0000 -2.1467 9.7711" Properties=species:S:1:pos:R:3 pbc="T T T"
Dy 0.0000 0.0000 0.0000
Th 0.0000 0.0000 6.9435
Th 0.0000 0.0000 22.3697
Pd 0.0000 0.0000 14.6566
```

## Properties
D(E_F) ... 4.5 states/eV/f.u.
DFT total energy ... -25.49 eV for the cell shown
ΔH_f (0 K) ... -0.2130 eV/atom
Offset from the most stable computed form ... 179 meV per atom


Repeat the fourth record exactly.
First-principles (GGA-PBE) data for an optimized crystal structure of ScOs, as listed in Alexandria.

extended XYZ file:
```
6
Lattice="5.0390 -1.4997 0.0000 5.0390 1.4997 0.0000 -2.0850 0.0000 6.9056" Properties=species:S:1:pos:R:3 pbc="T T T"
Sc 0.0000 0.0000 0.0000
Sc -1.1126 0.0000 4.0789
Sc 2.7682 0.0000 1.5830
Os 1.5562 0.0000 4.4253
Os 5.6787 0.0000 2.4028
Os 5.3000 0.0000 6.2371
```

## Properties
D(E_F) ... 1.2 states/eV/f.u.
DFT total energy ... -53.81 eV for the cell shown
ΔH_f (0 K) ... -0.1879 eV/atom


- Which of these has the highest DFT total energy?
  BaAcCd


- What is the D(E_F) in the ninth record?
  7.6 states/eV/f.u.